w.
First-principles (PBE) data for an optimized crystal structure of TbPuTe, as listed in Alexandria via LeMat-Bulk.

Output
**Total moment**: 2.094 μB per atom
**D(E_F)**: 9.01 states/eV/cell

Geometry as CIF:
```
data_TbPuTe
_symmetry_space_group_name_H-M 'P -6 m 2'
_symmetry_Int_Tables_number 187
_symmetry_space_group_name_Hall 'P -6 2'
_cell_length_a 5.1928
_cell_length_b 5.1928
_cell_length_c 3.8340
_cell_angle_alpha 90.00
_cell_angle_beta 90.00
_cell_angle_gamma 120.00
loop_
_atom_site_label
_atom_site_fract_x
_atom_site_fract_y
_atom_site_fract_z
Tb1 0.0000 0.0000 0.0000
Pu1 0.6667 0.3333 0.5000
Te1 0.3333 0.6667 0.0000
```

x.
First-principles (PBE) data for an optimized crystal structure of TbPuTe, as listed in Alexandria via LeMat-Bulk.

Output
**Total moment**: 2.205 μB per atom
**D(E_F)**: 19.18 states/eV/cell

Geometry as CIF:
```
data_TbPuTe
_symmetry_space_group_name_H-M 'I 4 m m'
_symmetry_Int_Tables_number 107
_symmetry_space_group_name_Hall 'I 4 -2'
_cell_length_a 3.9282
_cell_length_b 3.9282
_cell_length_c 11.1170
_cell_angle_alpha 90.00
_cell_angle_beta 90.00
_cell_angle_gamma 90.00
loop_
_atom_site_label
_atom_site_fract_x
_atom_site_fract_y
_atom_site_fract_z
Tb1 0.0000 0.0000 0.0000
Pu1 0.0000 0.0000 0.6918
Te1 0.0000 0.0000 0.3564
```

What is the stability order? It is x, w, from most stable to least stable.

w.
First-principles (PBE) data for an optimized crystal structure of TbPuTe2, as listed in Alexandria via LeMat-Bulk.

Output
**Total moment**: 1.529 μB per atom
**D(E_F)**: 24.83 states/eV/cell

Geometry as CIF:
```
data_TbPuTe2
_symmetry_space_group_name_H-M 'P 63/m m c'
_symmetry_Int_Tables_number 194
_symmetry_space_group_name_Hall '-P 6c 2c'
_cell_length_a 4.2833
_cell_length_b 4.2833
_cell_length_c 15.2673
_cell_angle_alpha 90.00
_cell_angle_beta 90.00
_cell_angle_gamma 120.00
loop_
_atom_site_label
_atom_site_fract_x
_atom_site_fract_y
_atom_site_fract_z
Tb1 0.0000 0.0000 0.0000
Pu1 0.3333 0.6667 0.2500
Te1 0.3333 0.6667 0.6205
```

x.
First-principles (PBE) data for an optimized crystal structure of TbPuTe2, as listed in Alexandria via LeMat-Bulk.

Output
**Total moment**: 1.669 μB per atom
**D(E_F)**: 21.56 states/eV/cell

Geometry as CIF:
```
data_TbPuTe2
_symmetry_space_group_name_H-M 'F m -3 m'
_symmetry_Int_Tables_number 225
_symmetry_space_group_name_Hall '-F 4 2 3'
_cell_length_a 7.6051
_cell_length_b 7.6051
_cell_length_c 7.6051
_cell_angle_alpha 90.00
_cell_angle_beta 90.00
_cell_angle_gamma 90.00
loop_
_atom_site_label
_atom_site_fract_x
_atom_site_fract_y
_atom_site_fract_z
Tb1 0.0000 0.0000 0.0000
Pu1 0.0000 0.0000 0.5000
Te1 0.2500 0.2500 0.2500
```

What is the stability order? It is w, x, from most stable to least stable.

w.
First-principles (PBE) data for an optimized crystal structure of Tb2PuTh, as listed in Alexandria via LeMat-Bulk.

Output
**Total moment**: 1.595 μB per atom
**D(E_F)**: 13.34 states/eV/cell

Geometry as CIF:
```
data_Tb2PuTh
_symmetry_space_group_name_H-M 'P 4/m m m'
_symmetry_Int_Tables_number 123
_symmetry_space_group_name_Hall '-P 4 2'
_cell_length_a 4.8852
_cell_length_b 4.8852
_cell_length_c 5.0966
_cell_angle_alpha 90.00
_cell_angle_beta 90.00
_cell_angle_gamma 90.00
loop_
_atom_site_label
_atom_site_fract_x
_atom_site_fract_y
_atom_site_fract_z
Tb1 0.0000 0.5000 0.0000
Pu1 0.0000 0.0000 0.5000
Th1 0.5000 0.5000 0.5000
```

x.
First-principles (PBE) data for an optimized crystal structure of Tb2PuTh, as listed in Alexandria via LeMat-Bulk.

Output
**Total moment**: 1.659 μB per atom
**D(E_F)**: 10.70 states/eV/cell

Geometry as CIF:
```
data_Tb2PuTh
_symmetry_space_group_name_H-M 'P 4/m m m'
_symmetry_Int_Tables_number 123
_symmetry_space_group_name_Hall '-P 4 2'
_cell_length_a 4.0789
_cell_length_b 4.0789
_cell_length_c 7.4170
_cell_angle_alpha 90.00
_cell_angle_beta 90.00
_cell_angle_gamma 90.00
loop_
_atom_site_label
_atom_site_fract_x
_atom_site_fract_y
_atom_site_fract_z
Tb1 0.0000 0.0000 0.2371
Pu1 0.5000 0.5000 0.0000
Th1 0.5000 0.5000 0.5000
```

What is the stability order? It is w, x, from most stable to least stable.

w.
First-principles (PBE) data for an optimized crystal structure of Tb2PuTh, as listed in Alexandria via LeMat-Bulk.

Output
**Total moment**: 1.472 μB per atom
**D(E_F)**: 36.53 states/eV/cell

Geometry as CIF:
```
data_Tb2PuTh
_symmetry_space_group_name_H-M 'R 3 m'
_symmetry_Int_Tables_number 160
_symmetry_space_group_name_Hall 'R 3 -2"'
_cell_length_a 3.5245
_cell_length_b 3.5245
_cell_length_c 34.6546
_cell_angle_alpha 90.00
_cell_angle_beta 90.00
_cell_angle_gamma 120.00
loop_
_atom_site_label
_atom_site_fract_x
_atom_site_fract_y
_atom_site_fract_z
Tb1 0.0000 0.0000 0.0000
Tb2 0.0000 0.0000 0.1698
Pu1 0.0000 0.0000 0.5850
Th1 0.0000 0.0000 0.7512
```

x.
First-principles (PBE) data for an optimized crystal structure of Tb2PuTh, as listed in Alexandria via LeMat-Bulk.

Output
**Total moment**: 1.580 μB per atom
**D(E_F)**: 58.41 states/eV/cell

Geometry as CIF:
```
data_Tb2PuTh
_symmetry_space_group_name_H-M 'F m -3 m'
_symmetry_Int_Tables_number 225
_symmetry_space_group_name_Hall '-F 4 2 3'
_cell_length_a 7.9386
_cell_length_b 7.9386
_cell_length_c 7.9386
_cell_angle_alpha 90.00
_cell_angle_beta 90.00
_cell_angle_gamma 90.00
loop_
_atom_site_label
_atom_site_fract_x
_atom_site_fract_y
_atom_site_fract_z
Tb1 0.2500 0.2500 0.2500
Pu1 0.0000 0.0000 0.0000
Th1 0.0000 0.0000 0.5000
```

What is the stability order? It is w, x, from most stable to least stable.